[1]
Below is an optimized crystal structure of Ca2NiHPd, with properties calculated at the PBE level.

Unit cell a=4.9329 b=4.9329 c=3.5235 alpha=90.00 beta=90.00 gamma=90.00
With the nearest neighbours (Å) after each atom.
Space group P4/mmm (No. 123)
Inequivalent atoms, fractional coordinates:
1 Ca 0.0000 0.5000 0.0000 (multiplicity 2)  2 H 2.47
2 Ni 0.0000 0.0000 0.5000 (multiplicity 1)  2 H 1.76
3 H 0.0000 0.0000 0.0000 (multiplicity 1)  2 Ni 1.76
4 Pd 0.5000 0.5000 0.5000 (multiplicity 1)  8 Ca 3.03

Computed properties:
Offset from the most stable computed form   0.0 meV/atom



[2]
Below is an optimized crystal structure of NaHgOsBr6, with properties calculated at the PBE level.

Unit cell a=7.1368 b=7.1368 c=12.0360 alpha=90.00 beta=90.00 gamma=120.00
With the nearest neighbours (Å) after each atom.
Space group P-31c (No. 163)
Inequivalent atoms, fractional coordinates:
1 Na 0.3333 0.6667 0.2500 (multiplicity 2)  6 Br 2.92
2 Hg 0.0000 0.0000 0.0000 (multiplicity 2)  6 Br 3.03
3 Os 0.3333 0.6667 0.7500 (multiplicity 2)  6 Br 2.51
4 Br 0.0432 0.3847 0.6282 (multiplicity 12)  1 Os 2.51

Computed properties:
Total energy   -2.974 eV/atom